Entry 1:
Li3Pb: relaxed, PBE-GGA.

Lattice parameters (Å, degrees): 3.7386 4.6689 5.2581 116.36 110.82 90.00
Fractional coordinates of all 4 atoms:
Li  0.7593  0.1760  0.5185
Li  0.2407  0.6575  0.4815
Li  0.5000  0.4165  0.0000
Pb  0.0000  0.9166  0.0000

Summary:
volume = 18.87 Å³ per atom
total magnetic moment = 0.0000 μB per atom
VASP energy = -10.7 eV per cell

Entry 2:
Li22Pb5: relaxed, PBE-GGA.

Lattice parameters (Å, degrees): 14.1278 14.1278 14.1278 60.00 60.00 60.00
Fractional coordinates of all 108 atoms:
Pb  0.3240  0.3240  0.6760
Pb  0.5745  0.5745  0.9255
Li  0.8296  0.1704  0.8296
Li  0.5065  0.5065  0.1740
Li  0.2579  0.9185  0.2579
Li  0.6709  0.6709  0.9873
Li  0.6679  0.3243  0.0039
Li  0.3243  0.6679  0.0039
Li  0.2579  0.9185  0.5658
Li  0.5658  0.2579  0.2579
Li  0.3243  0.0039  0.0039
Li  0.4167  0.7498  0.4167
Li  0.4207  0.0661  0.7566
Li  0.4167  0.4167  0.4167
Li  0.5658  0.2579  0.9185
Pb  0.9255  0.5745  0.5745
Li  0.4207  0.7566  0.7566
Li  0.7500  0.7500  0.7500
Li  0.0279  0.3240  0.3240
Li  0.7566  0.7566  0.4207
Li  0.5065  0.1740  0.8129
Pb  0.9165  0.9165  0.2504
Li  0.1704  0.1704  0.8296
Pb  0.2504  0.9165  0.9165
Li  0.0039  0.0039  0.6679
Li  0.1704  0.8296  0.1704
Pb  0.1613  0.5160  0.1613
Li  0.0661  0.4207  0.7566
Pb  0.9165  0.2504  0.9165
Li  0.5766  0.2702  0.5766
Li  0.2579  0.2579  0.5658
Li  0.3243  0.0039  0.6679
Li  0.4167  0.4167  0.7498
Pb  0.9255  0.5745  0.9255
Pb  0.5745  0.9255  0.5745
Pb  0.1613  0.1613  0.1613
Li  0.8129  0.5065  0.5065
Li  0.5052  0.8316  0.8316
Li  0.5000  0.5000  0.5000
Li  0.8296  0.1704  0.1704
Li  0.9185  0.2579  0.2579
Li  0.4218  0.4218  0.0782
Li  0.0039  0.3243  0.6679
Li  0.0661  0.7566  0.4207
Pb  0.3240  0.6760  0.3240
Li  0.5065  0.5065  0.8129
Li  0.5658  0.9185  0.2579
Pb  0.9165  0.9165  0.9165
Li  0.7566  0.4207  0.7566
Li  0.0763  0.7712  0.0763
Li  0.8296  0.8296  0.1704
Li  0.8129  0.1740  0.5065
Li  0.7566  0.4207  0.0661
Li  0.2702  0.5766  0.5766
Li  0.0039  0.0039  0.3243
Li  0.1740  0.5065  0.5065
Pb  0.5160  0.1613  0.1613
Li  0.7566  0.0661  0.7566
Pb  0.1613  0.1613  0.5160
Li  0.1704  0.8296  0.8296
Li  0.7566  0.0661  0.4207
Li  0.1740  0.5065  0.8129
Li  0.6679  0.0039  0.0039
Li  0.0782  0.0782  0.4218
Li  0.3240  0.0279  0.3240
Li  0.0782  0.4218  0.4218
Li  0.0039  0.6679  0.0039
Li  0.2579  0.5658  0.2579
Li  0.4207  0.7566  0.0661
Pb  0.5745  0.9255  0.9255
Li  0.9185  0.5658  0.2579
Pb  0.9255  0.9255  0.5745
Li  0.7566  0.7566  0.0661
Li  0.8316  0.5052  0.8316
Li  0.0039  0.6679  0.3243
Li  0.0000  0.0000  0.0000
Li  0.8316  0.8316  0.5052
Li  0.5065  0.1740  0.5065
Li  0.0763  0.0763  0.7712
Li  0.0661  0.7566  0.7566
Li  0.6709  0.9873  0.6709
Li  0.5065  0.8129  0.5065
Li  0.9185  0.2579  0.5658
Li  0.0782  0.4218  0.0782
Li  0.9873  0.6709  0.6709
Li  0.3240  0.3240  0.0279
Li  0.5766  0.5766  0.5766
Li  0.6679  0.0039  0.3243
Pb  0.6760  0.3240  0.3240
Li  0.4218  0.0782  0.4218
Li  0.6709  0.6709  0.6709
Li  0.5065  0.8129  0.1740
Li  0.7712  0.0763  0.0763
Li  0.8316  0.8316  0.8316
Li  0.4218  0.0782  0.0782
Pb  0.6760  0.6760  0.3240
Li  0.5766  0.5766  0.2702
Li  0.8129  0.5065  0.1740
Li  0.0039  0.3243  0.0039
Li  0.0763  0.0763  0.0763
Li  0.3240  0.3240  0.3240
Pb  0.6760  0.3240  0.6760
Li  0.2579  0.2579  0.9185
Li  0.7498  0.4167  0.4167
Li  0.2500  0.2500  0.2500
Li  0.2579  0.5658  0.9185
Li  0.1740  0.8129  0.5065
Pb  0.3240  0.6760  0.6760

Summary:
volume = 18.46 Å³ per atom
total magnetic moment = 0.0000 μB per atom
VASP energy = -271.5 eV per cell

Entry 3:
Li3Pb: relaxed, PBE-GGA.

Lattice parameters (Å, degrees): 6.1060 6.1060 4.8173 90.00 90.00 120.00
Fractional coordinates of all 8 atoms:
Li  0.3445  0.1722  0.2500
Pb  0.3333  0.6667  0.2500
Li  0.1722  0.3445  0.7500
Li  0.6555  0.8278  0.7500
Li  0.1722  0.8278  0.7500
Li  0.8278  0.1722  0.2500
Pb  0.6667  0.3333  0.7500
Li  0.8278  0.6555  0.2500

Summary:
volume = 19.44 Å³ per atom
total magnetic moment = 0.0000 μB per atom
VASP energy = -21.1 eV per cell

Entry 4:
Li17Pb2: relaxed, PBE-GGA.

Lattice parameters (Å, degrees): 7.7016 7.7016 7.7016 64.82 64.82 64.82
Fractional coordinates of all 19 atoms:
Pb  0.7138  0.7138  0.7138
Pb  0.2862  0.2862  0.2862
Li  0.3069  0.0000  0.6931
Li  0.0000  0.6931  0.3069
Li  0.0000  0.0000  0.5000
Li  0.4388  0.4388  0.8027
Li  0.8027  0.4388  0.4388
Li  0.3069  0.6931  0.0000
Li  0.0000  0.5000  0.0000
Li  0.6931  0.3069  0.0000
Li  0.5612  0.5612  0.1973
Li  0.6931  0.0000  0.3069
Li  0.9054  0.9054  0.9054
Li  0.0946  0.0946  0.0946
Li  0.5000  0.0000  0.0000
Li  0.4388  0.8027  0.4388
Li  0.5612  0.1973  0.5612
Li  0.0000  0.3069  0.6931
Li  0.1973  0.5612  0.5612

Summary:
volume = 18.79 Å³ per atom
total magnetic moment = 0.0000 μB per atom
VASP energy = -41.3 eV per cell

Entry 5:
Li2Pb3: relaxed, PBE-GGA.

Lattice parameters (Å, degrees): 3.6620 3.6620 9.6233 101.02 101.02 89.76
Fractional coordinates of all 5 atoms:
Pb  0.6884  0.1884  0.3767
Pb  0.5000  0.0000  0.0000
Li  0.9125  0.4125  0.8250
Li  0.0875  0.5875  0.1750
Pb  0.3116  0.8116  0.6233

Summary:
volume = 24.85 Å³ per atom
total magnetic moment = 0.0000 μB per atom
VASP energy = -15.9 eV per cell

Entry 6:
Li6Pb7: relaxed, PBE-GGA.

Lattice parameters (Å, degrees): 11.3193 11.3193 11.3193 32.44 32.44 32.44
Fractional coordinates of all 13 atoms:
Li  0.1708  0.1708  0.1708
Pb  0.4213  0.4213  0.9218
Pb  0.5787  0.0782  0.5787
Pb  0.0782  0.5787  0.5787
Li  0.0502  0.0502  0.0502
Pb  0.9218  0.4213  0.4213
Li  0.6664  0.6664  0.6664
Li  0.3336  0.3336  0.3336
Li  0.8292  0.8292  0.8292
Pb  0.5000  0.5000  0.5000
Pb  0.5787  0.5787  0.0782
Li  0.9498  0.9498  0.9498
Pb  0.4213  0.9218  0.4213

Summary:
volume = 28.54 Å³ per atom
total magnetic moment = 0.0000 μB per atom
VASP energy = -38.3 eV per cell

Entry 7:
Li3Pb2: relaxed, PBE-GGA.

Lattice parameters (Å, degrees): 8.9745 7.9277 5.8769 79.59 60.32 40.09
Fractional coordinates of all 10 atoms:
Li  0.8028  0.8976  0.7862
Li  0.9332  0.0668  0.0668
Li  0.1832  0.3168  0.3168
Li  0.4638  0.7367  0.4472
Pb  0.8999  0.2094  0.5399
Pb  0.7101  0.8992  0.3501
Pb  0.3508  0.5399  0.2094
Pb  0.0406  0.3501  0.8992
Li  0.5133  0.7862  0.8976
Li  0.3524  0.4472  0.7367

Summary:
volume = 21.88 Å³ per atom
total magnetic moment = 0.0000 μB per atom
VASP energy = -28.7 eV per cell

Entry 8:
Li3Pb: relaxed, PBE-GGA.

Lattice parameters (Å, degrees): 4.7842 3.2271 5.3914 80.76 90.00 90.00
Fractional coordinates of all 4 atoms:
Li  0.5000  0.7500  0.7500
Li  0.0000  0.9814  0.0105
Li  0.0000  0.5186  0.4895
Pb  0.5000  0.2500  0.2500

Summary:
volume = 20.54 Å³ per atom
total magnetic moment = 0.0000 μB per atom
VASP energy = -10.3 eV per cell

Entry 9:
Li2Pb3: relaxed, PBE-GGA.

Lattice parameters (Å, degrees): 3.3667 3.3667 21.9667 90.00 90.00 90.00
Fractional coordinates of all 10 atoms:
Li  0.5000  0.5000  0.2206
Li  0.5000  0.5000  0.7794
Li  0.5000  0.5000  0.4055
Pb  0.0000  0.0000  0.6878
Pb  0.0000  0.0000  0.5000
Pb  0.0000  0.0000  0.8760
Pb  0.0000  0.0000  0.1240
Pb  0.0000  0.0000  0.3122
Pb  0.5000  0.5000  0.0000
Li  0.5000  0.5000  0.5945

Summary:
volume = 24.90 Å³ per atom
total magnetic moment = 0.0000 μB per atom
VASP energy = -31.7 eV per cell

Entry 10:
LiPb7: relaxed, PBE-GGA.

Lattice parameters (Å, degrees): 6.9816 6.9816 6.9816 60.00 60.00 60.00
Fractional coordinates of all 8 atoms:
Pb  0.0000  0.5000  0.5000
Pb  0.5000  0.5000  0.5000
Li  0.0000  0.0000  0.0000
Pb  0.5000  0.0000  0.5000
Pb  0.5000  0.5000  0.0000
Pb  0.0000  0.5000  0.0000
Pb  0.5000  0.0000  0.0000
Pb  0.0000  0.0000  0.5000

Summary:
volume = 30.08 Å³ per atom
total magnetic moment = 0.0000 μB per atom
VASP energy = -28.2 eV per cell

Entry 11:
Li3Pb5: relaxed, PBE-GGA.

Lattice parameters (Å, degrees): 8.7587 8.7589 8.6563 96.58 96.58 139.48
Fractional coordinates of all 16 atoms:
Li  0.0834  0.5841  0.8355
Pb  0.0803  0.2222  0.2920
Li  0.2463  0.2528  0.9996
Pb  0.7219  0.5809  0.2922
Pb  0.9187  0.7773  0.7075
Pb  0.2732  0.7736  0.5491
Li  0.3324  0.1673  0.5003
Pb  0.2328  0.9434  0.1366
Pb  0.7258  0.2262  0.4509
Li  0.9160  0.4168  0.1648
Pb  0.5564  0.2667  0.8636
Li  0.7526  0.7465  0.9996
Li  0.6671  0.8330  0.5003
Pb  0.7668  0.0571  0.8639
Pb  0.4426  0.7327  0.1364
Pb  0.2770  0.4194  0.7077

Summary:
volume = 25.45 Å³ per atom
total magnetic moment = 0.0000 μB per atom
VASP energy = -51.0 eV per cell

Entry 12:
LiPb8: relaxed, PBE-GGA.

Lattice parameters (Å, degrees): 7.8875 7.8875 7.8875 95.31 95.31 144.57
Fractional coordinates of all 9 atoms:
Pb  0.6716  0.0000  0.6716
Pb  0.3284  0.0000  0.3284
Pb  0.3376  0.3376  0.6751
Li  0.0000  0.0000  0.0000
Pb  0.3376  0.6624  0.0000
Pb  0.0000  0.3284  0.3284
Pb  0.6624  0.6624  0.3249
Pb  0.6624  0.3376  0.0000
Pb  0.0000  0.6716  0.6716

Summary:
volume = 30.11 Å³ per atom
total magnetic moment = 0.0000 μB per atom
VASP energy = -32.0 eV per cell

Repeat the twelfth record exactly.
LiPb8: relaxed, PBE-GGA.

Lattice parameters (Å, degrees): 7.8875 7.8875 7.8875 95.31 95.31 144.57
Fractional coordinates of all 9 atoms:
Pb  0.6716  0.0000  0.6716
Pb  0.3284  0.0000  0.3284
Pb  0.3376  0.3376  0.6751
Li  0.0000  0.0000  0.0000
Pb  0.3376  0.6624  0.0000
Pb  0.0000  0.3284  0.3284
Pb  0.6624  0.6624  0.3249
Pb  0.6624  0.3376  0.0000
Pb  0.0000  0.6716  0.6716

Summary:
volume = 30.11 Å³ per atom
total magnetic moment = 0.0000 μB per atom
VASP energy = -32.0 eV per cell